Entry 1:
ScZn2Br: relaxed, PBE-GGA.

```
ScZn2Br
1.0
-0.6596 -2.9332 -3.7845
3.2220 -1.2962 0.4431
1.2281 -4.9335 3.6096
Br Sc Zn
1 1 2
direct
0.5000 0.2500 0.2500
0.5000 0.7500 0.7500
0.0000 0.0048 0.9918
0.0000 0.4952 0.5082
```

Properties
- magnetization (μB per atom) = 0.000
- distance to the lowest polymorph of the same formula (kJ/mol of atoms) = 23.2
- ΔE_f (raw) (eV per formula unit) = -0.6
- space group = P2/m (10)

---

Entry 2:
ZnNi6Sn2: relaxed, PBE-GGA.

```
ZnNi6Sn2
1.0
-4.5172 -2.0198 -2.3927
0.4909 -4.3235 2.7074
-2.2473 -0.4252 4.5861
Zn Ni Sn
1 6 2
direct
0.0000 0.0000 0.0000
0.3271 0.3485 0.8257
0.3275 0.8255 0.8255
0.3271 0.8257 0.3485
0.6729 0.6515 0.1743
0.6725 0.1745 0.1745
0.6729 0.1743 0.6515
0.8144 0.6666 0.6666
0.1856 0.3334 0.3334
```

Properties
- magnetization (μB per atom) = 0.000
- energy of formation (meV/atom) = -32
- space group = C2/m (12)

---

Entry 3:
Pm5DyPb6: relaxed, PBE-GGA.

```
Pm5DyPb6
1.0
9.5202 -0.0745 0.0000
2.6102 5.3225 0.0000
1.3051 2.6612 7.3072
Pm Dy Pb
5 1 6
direct
0.5000 0.1694 0.6612
0.0000 0.3361 0.3278
0.5000 0.5000 0.0000
0.0000 0.6639 0.6722
0.5000 0.8306 0.3388
0.0000 0.0000 0.0000
0.7537 0.0793 0.3300
0.2463 0.5907 0.3300
0.2524 0.2326 0.0000
0.7476 0.7674 0.0000
0.7537 0.4093 0.6700
0.2463 0.9207 0.6700
```

Properties
- magnetization (μB per atom) = 0.000
- energy of formation (meV/atom) = -484
- distance to the lowest polymorph of the same formula (kJ/mol of atoms) = 0.8
- space group = C2/m (12)

---

Entry 4:
CrCSe2: relaxed, PBE-GGA.

```
CrCSe2
1.0
-4.5710 4.9290 3.2665
-4.8517 2.4386 5.1354
-2.4561 4.4120 5.5100
Cr C Se
1 1 2
direct
0.0000 0.0000 0.0000
0.5000 0.5000 0.5000
0.8960 0.8960 0.8960
0.1040 0.1040 0.1040
```

Properties
- magnetization (μB per atom) = 0.000
- ΔE_f (raw) (eV per formula unit) = 5.9
- space group = R-3m (166)

---

Entry 5:
HfNb3Re: relaxed, PBE-GGA.

```
HfNb3Re
1.0
-1.9907 4.3466 -0.0033
-2.1656 -0.9950 -4.1444
-3.7687 -1.7242 2.3833
Re Nb Hf
1 3 1
direct
0.5000 0.5000 0.5000
0.0000 0.5000 0.0000
0.0000 0.0000 0.5000
0.5000 0.0000 0.0000
0.0000 0.0000 0.0000
```

Properties
- magnetization (μB per atom) = 0.000
- energy of formation (meV/atom) = 2129
- distance to the lowest polymorph of the same formula (kJ/mol of atoms) = 192.6
- space group = Pm-3m (221)

---

Entry 6:
NbAg3B: relaxed, PBE-GGA.

```
NbAg3B
1.0
-1.1436 2.9395 -3.0051
-4.2034 -0.8329 0.7849
-0.0449 3.1055 3.0549
Nb B Ag
1 1 3
direct
0.5000 0.5000 0.5000
0.0000 0.0000 0.0000
0.0000 0.5000 0.0000
0.0000 0.0000 0.5000
0.5000 0.0000 0.0000
```

Properties
- magnetization (μB per atom) = 0.211
- energy of formation (meV/atom) = 789
- distance to the lowest polymorph of the same formula (kJ/mol of atoms) = 0.0
- space group = Pm-3m (221)

---

Entry 7:
KNbCdFeBr: relaxed, PBE-GGA.

```
KNbCdFeBr
1.0
3.3374 -0.1183 -0.0175
-1.4977 5.0499 0.0095
-1.6382 -0.5053 7.4929
K Nb Cd Fe Br
1 1 1 1 1
direct
0.9483 0.4801 0.6789
0.7779 0.6394 0.1799
0.3901 0.0485 0.9939
0.1436 0.3291 0.2226
0.1010 0.0080 0.4595
```

Properties
- magnetization (μB per atom) = 0.119
- distance to the lowest polymorph of the same formula (kJ/mol of atoms) = 17.5
- ΔE_f (raw) (eV per formula unit) = 0.5
- space group = P1 (1)

---

Entry 8:
ErScTcO6: relaxed, PBE-GGA.

```
ErScTcO6
1.0
-0.3991 1.9095 4.9959
1.9349 -4.9311 -0.8395
8.3156 3.3692 -0.6235
Er Sc Tc O
2 2 2 12
direct
0.3333 0.6667 0.2500
0.6667 0.3333 0.7500
0.0000 0.0000 0.0000
0.0000 0.0000 0.5000
0.6667 0.3333 0.2500
0.3333 0.6667 0.7500
0.6847 0.6416 0.1289
0.9569 0.3153 0.1289
0.3153 0.9569 0.6289
0.0431 0.6847 0.8711
0.3584 0.3153 0.3711
0.9569 0.6416 0.3711
0.6416 0.9569 0.8711
0.6847 0.0431 0.3711
0.0431 0.3584 0.6289
0.3584 0.0431 0.1289
0.6416 0.6847 0.6289
0.3153 0.3584 0.8711
```

Properties
- magnetization (μB per atom) = 0.114
- ΔE_f (raw) (eV per formula unit) = -22.2
- space group = P-31c (163)

---

Entry 9:
Ta2AgP: relaxed, PBE-GGA.

```
Ta2AgP
1.0
3.4427 0.0000 0.0000
0.0000 3.4442 0.0000
0.0000 0.0000 5.7819
Ag P Ta
1 1 2
direct
0.0000 0.0000 0.4986
0.5000 0.5000 0.7782
0.0000 0.0000 0.9857
0.5000 0.5000 0.2375
```

Properties
- magnetization (μB per atom) = 0.000
- energy of formation (meV/atom) = 85
- space group = P4mm (99)

---

Entry 10:
Ac2LaCd5: relaxed, PBE-GGA.

```
Ac2LaCd5
1.0
5.4695 0.0000 0.0000
0.0000 5.4695 0.0000
-2.7348 -2.7348 7.9699
Ac La Cd
2 1 5
direct
0.7344 0.7344 0.4688
0.2656 0.2656 0.5312
0.0000 0.0000 0.0000
0.5000 0.5000 0.0000
0.8891 0.3891 0.7781
0.3891 0.8891 0.7781
0.1109 0.6109 0.2219
0.6109 0.1109 0.2219
```

Properties
- magnetization (μB per atom) = 0.000
- energy of formation (meV/atom) = -287
- space group = I4/mmm (139)

---

Entry 11:
Y2ErPb: relaxed, PBE-GGA.

```
Y2ErPb
1.0
3.6487 0.0000 0.0000
0.0000 3.6487 0.0000
0.0000 0.0000 9.1333
Pb Y Er
1 2 1
direct
0.5000 0.5000 0.0000
0.0000 0.0000 0.7638
0.0000 0.0000 0.2362
0.5000 0.5000 0.5000
```

Properties
- magnetization (μB per atom) = 0.000
- energy of formation (meV/atom) = -221
- distance to the lowest polymorph of the same formula (kJ/mol of atoms) = 5.0
- space group = P4/mmm (123)

---

Entry 12:
Nd6YHo3: relaxed, PBE-GGA.

```
Nd6YHo3
1.0
-2.9600 -3.4598 -4.5467
8.3163 -7.4142 0.2278
-8.9288 -1.0203 6.5892
Nd Y Ho
12 2 6
direct
0.0503 0.7187 0.6288
0.5503 0.6288 0.7187
0.3484 0.5095 0.9362
0.8484 0.9362 0.5095
0.3800 0.9699 0.0301
0.6633 0.2827 0.7173
0.1633 0.7173 0.2827
0.8800 0.0301 0.9699
0.3484 0.0638 0.4905
0.8484 0.4905 0.0638
0.0503 0.3712 0.2813
0.5503 0.2813 0.3712
0.0950 0.1870 0.8130
0.5950 0.8130 0.1870
0.4813 0.9483 0.7177
0.9813 0.7177 0.9483
0.0869 0.3881 0.6119
0.5869 0.6119 0.3881
0.9813 0.0517 0.2823
0.4813 0.2823 0.0517
```

Properties
- magnetization (μB per atom) = 0.000
- energy of formation (meV/atom) = 143
- space group = Cmc2_1 (36)

---

Entry 13:
CdWAu2: relaxed, PBE-GGA.

```
CdWAu2
1.0
4.1211 0.0000 0.0000
0.0000 2.8341 0.0235
0.0000 2.8249 6.1831
Au W Cd
2 1 1
direct
0.0000 0.0169 0.9817
0.0000 0.4831 0.5183
0.5000 0.7500 0.7500
0.5000 0.2500 0.2500
```

Properties
- magnetization (μB per atom) = 0.001
- energy of formation (meV/atom) = 341
- distance to the lowest polymorph of the same formula (kJ/mol of atoms) = 15.5
- space group = P2/m (10)

---

Entry 14:
SmY2ErTe6: relaxed, PBE-GGA.

```
SmY2ErTe6
1.0
7.7234 -0.0003 0.0000
3.8614 6.6887 -0.0004
3.8611 2.2294 7.0435
Sm Y Er Te
1 2 1 6
direct
0.8218 0.8217 0.5348
0.5097 0.5097 0.4709
0.0084 0.0083 0.9749
0.3235 0.3235 0.0296
0.5999 0.2331 0.2486
0.2331 0.9184 0.2486
0.9184 0.5999 0.2486
0.4092 0.7284 0.7531
0.7284 0.1093 0.7531
0.1093 0.4092 0.7530
```

Properties
- magnetization (μB per atom) = 0.000
- ΔE_f (raw) (eV per formula unit) = -13.7
- space group = R3 (146)

---

Entry 15:
V5Sn3Te12: relaxed, PBE-GGA.

```
V5Sn3Te12
1.0
-4.8530 6.9331 -12.1401
-8.6781 -11.6484 2.8299
-0.3618 9.3266 11.4842
Sn V Te
12 20 48
direct
0.7500 0.3750 0.1250
0.8750 0.7500 0.1250
0.3750 0.7500 0.6250
0.2500 0.1250 0.3750
0.8750 0.1250 0.2500
0.3750 0.6250 0.2500
0.6250 0.3750 0.7500
0.1250 0.8750 0.7500
0.7500 0.8750 0.6250
0.6250 0.2500 0.3750
0.1250 0.2500 0.8750
0.2500 0.6250 0.8750
0.1250 0.3750 0.2500
0.0000 0.5000 0.0000
0.0000 0.0000 0.0000
0.3750 0.2500 0.1250
0.5000 0.0000 0.5000
0.5000 0.5000 0.0000
0.1250 0.7500 0.3750
0.7500 0.1250 0.8750
0.7500 0.6250 0.3750
0.3750 0.1250 0.7500
0.6250 0.8750 0.2500
0.5000 0.5000 0.5000
0.5000 0.0000 0.0000
0.0000 0.0000 0.5000
0.2500 0.3750 0.6250
0.2500 0.8750 0.1250
0.0000 0.5000 0.5000
0.8750 0.2500 0.6250
0.6250 0.7500 0.8750
0.8750 0.6250 0.7500
0.7039 0.1172 0.0247
0.3207 0.5247 0.4075
0.9753 0.3828 0.2961
0.5247 0.2039 0.1172
0.5868 0.7039 0.6793
0.9753 0.5925 0.1793
0.3207 0.7961 0.4132
0.0925 0.9132 0.1172
0.5925 0.9753 0.6793
0.7039 0.5868 0.1793
0.7961 0.4753 0.3828
0.8207 0.9075 0.0247
0.1172 0.7039 0.5247
0.3828 0.4075 0.0868
0.0868 0.9075 0.3828
0.4132 0.1172 0.5925
0.0868 0.1793 0.2039
0.4753 0.6793 0.0925
0.8207 0.9132 0.2961
0.1172 0.4132 0.0925
0.3828 0.9753 0.7961
0.5925 0.6172 0.4132
0.9075 0.8207 0.5247
0.7961 0.3207 0.9132
0.4075 0.3828 0.5868
0.0925 0.1793 0.4753
0.2039 0.6793 0.0868
0.1793 0.0868 0.7039
0.6172 0.0247 0.2039
0.8828 0.5868 0.9075
0.5247 0.3207 0.9075
0.5868 0.8828 0.4075
0.9132 0.8207 0.7961
0.9132 0.0925 0.6172
0.8828 0.2961 0.4753
0.1793 0.0925 0.9753
0.6172 0.5925 0.9132
0.4075 0.0247 0.3207
0.2961 0.4132 0.8207
0.2039 0.5247 0.6172
0.9075 0.0868 0.8828
0.6793 0.2039 0.5868
0.4753 0.7961 0.8828
0.0247 0.4075 0.8207
0.4132 0.2961 0.3207
0.0247 0.6172 0.7039
0.6793 0.4753 0.5925
0.2961 0.8828 0.9753
```

Properties
- magnetization (μB per atom) = 0.349
- ΔE_f (raw) (eV per formula unit) = -2.2
- space group = Ia-3d (230)

---

Entry 16:
BaTeRh: relaxed, PBE-GGA.

```
BaTeRh
1.0
-1.7333 4.0446 4.6234
1.2383 6.2297 0.6296
-2.0258 -4.5469 -3.9950
Ba Te Rh
1 1 1
direct
0.0034 0.0034 0.0000
0.7201 0.7201 0.0000
0.2766 0.2766 0.0000
```

Properties
- magnetization (μB per atom) = 0.000
- ΔE_f (raw) (eV per formula unit) = -1.3
- space group = I4mm (107)

---

Entry 17:
CdTc2Ru: relaxed, PBE-GGA.

```
CdTc2Ru
1.0
2.7606 0.0000 0.0000
0.0000 2.7606 0.0000
0.0000 0.0000 8.2315
Cd Ru Tc
1 1 2
direct
0.5000 0.5000 0.2500
0.5000 0.5000 0.7500
0.0000 0.0000 0.9754
0.0000 0.0000 0.5246
```

Properties
- magnetization (μB per atom) = 0.001
- energy of formation (meV/atom) = 280
- space group = P4/mmm (123)

---

Entry 18:
CaTlAs: relaxed, PBE-GGA.

```
CaTlAs
1.0
5.0780 0.0000 0.0000
0.0000 5.0780 0.0000
0.0000 0.0000 6.8889
Tl As Ca
2 2 2
direct
0.0000 0.5000 0.8623
0.5000 0.0000 0.1377
0.0000 0.5000 0.2715
0.5000 0.0000 0.7285
0.5000 0.5000 0.5000
0.0000 0.0000 0.5000
```

Properties
- magnetization (μB per atom) = 0.000
- energy of formation (meV/atom) = -603
- distance to the lowest polymorph of the same formula (kJ/mol of atoms) = 0.0
- space group = P4/nmm (129)

---

Entry 19:
Cd4Ag4Sn: relaxed, PBE-GGA.

```
Cd4Ag4Sn
1.0
6.2653 0.0000 0.0000
0.0000 6.2653 0.0000
0.0000 0.0000 10.1405
Cd Ag Sn
8 8 2
direct
0.5000 0.7610 0.7729
0.5000 0.2390 0.7729
0.7610 0.5000 0.2271
0.2390 0.5000 0.2271
0.2610 0.0000 0.2729
0.7390 0.0000 0.2729
0.0000 0.2610 0.7271
0.0000 0.7390 0.7271
0.2209 0.5000 0.9343
0.7791 0.5000 0.9343
0.5000 0.7791 0.0657
0.5000 0.2209 0.0657
0.0000 0.7209 0.4343
0.0000 0.2791 0.4343
0.2791 0.0000 0.5657
0.7209 0.0000 0.5657
0.0000 0.0000 0.0000
0.5000 0.5000 0.5000
```

Properties
- magnetization (μB per atom) = 0.000
- energy of formation (meV/atom) = 64
- distance to the lowest polymorph of the same formula (kJ/mol of atoms) = 6.2
- space group = P4_2/nmc (137)

---

Entry 20:
RbMoBr2: relaxed, PBE-GGA.

```
RbMoBr2
1.0
-5.9821 -2.6564 -1.0150
1.2944 -4.6486 4.5373
-5.3454 0.9699 7.3532
Mo Br Rb
2 4 2
direct
0.0000 0.0000 0.0000
0.7500 0.2500 0.5000
0.7064 0.1250 0.2500
0.0436 0.6250 0.2500
0.3750 0.2936 0.7500
0.8750 0.9564 0.7500
0.5000 0.5000 0.0000
0.2500 0.7500 0.5000
```

Properties
- magnetization (μB per atom) = 1.250
- distance to the lowest polymorph of the same formula (kJ/mol of atoms) = 4.4
- ΔE_f (raw) (eV per formula unit) = -0.5
- space group = I-42d (122)

---

Entry 21:
La2AsH: relaxed, PBE-GGA.

```
La2AsH
1.0
-3.1909 2.6841 5.8741
-6.3147 -2.6705 -2.2101
-4.0638 -3.1113 3.6311
H As La
2 2 4
direct
0.5000 0.5000 0.0000
0.2500 0.7500 0.5000
0.0000 0.0000 0.0000
0.7500 0.2500 0.5000
0.5621 0.1250 0.2500
0.1879 0.6250 0.2500
0.3750 0.4379 0.7500
0.8750 0.8121 0.7500
```

Properties
- magnetization (μB per atom) = 0.000
- distance to the lowest polymorph of the same formula (kJ/mol of atoms) = 5.7
- space group = I-42d (122)

---

Total energy values, unit Ry per atom, following the record order: -0.2052 -0.3614 -0.3455 -0.3657 -0.6169 -0.3139 -0.3186 -0.5979 -0.5811 -0.1839 -0.4058 -0.3482 -0.3502 -0.4026 -0.3582 -0.3369 -0.5476 -0.2652 -0.1510 -0.2877 -0.3919.